VASP calculation (PBE+U) on a relaxed structure of CrIr2AuO.

Unit cell a=4.4485 b=4.4485 c=4.7931 alpha=90.00 beta=90.00 gamma=90.00
Fractional coordinates of all 5 atoms:
Cr 0.0000 0.0000 0.0000
Ir 0.0000 0.5000 0.0000
Ir 0.5000 0.0000 0.0000
Au 0.0000 0.0000 0.5000
O 0.5000 0.5000 0.5000

**Energy**: -4.388 eV per atom
**SG**: P4/mmm
**Crystal system**: tetragonal